The following is a GGA-PBE calculation of an optimized crystal structure of K13Na2, from the Alexandria database.

Unit cell a=8.274 b=11.375 c=11.867 alpha=64.22 beta=85.31 gamma=83.96
Fractional positions:
K 0.000 0.000 0.000
K 0.142 0.476 0.758
K 0.198 0.214 0.184
K 0.256 0.931 0.588
K 0.322 0.661 0.001
K 0.354 0.407 0.412
K 0.481 0.131 0.793
K 0.519 0.869 0.207
K 0.646 0.593 0.588
K 0.678 0.339 0.999
K 0.744 0.069 0.412
K 0.802 0.786 0.816
K 0.858 0.524 0.242
Na 0.066 0.761 0.380
Na 0.934 0.239 0.620

Values from the calculation:
space group	P-1, No. 2
energy relative to the lowest polymorph listed for this composition	0.000	eV/atom
total DFT energy (no corrections)	-1.116	eV per atom
ΔH_f (0 K)	0.0114	eV/atom